1.
Pm2SmThS4 | the Alexandria database | PBE | optimized geometry; symmetry = P2/m; energy relative to the elements, uncorrected = -191 kJ per mole of atoms; total moment = 0.00 μB per formula unit
1.0
6.985 0.000 0.000
0.000 4.013 0.000
-2.313 0.000 6.596
Pm Sm Th S
2 1 1 4
Direct
0.000 0.000 0.000
0.000 0.500 0.500
0.500 0.000 0.500
0.500 0.500 0.000
0.250 0.000 0.748
0.251 0.500 0.252
0.749 0.500 0.748
0.750 0.000 0.252

=====

2.
Pm3SmTh4S8 | the Alexandria database | PBE | optimized geometry; symmetry = R-3m; energy relative to the elements, uncorrected = -186 kJ per mole of atoms; total moment = 0.00 μB per formula unit
1.0
3.995 2.306 6.706
-3.995 2.306 6.706
0.000 -4.613 6.706
Pm Sm Th S
3 1 4 8
Direct
0.000 0.500 0.500
0.500 0.000 0.500
0.500 0.500 0.000
0.000 0.000 0.000
0.000 0.000 0.500
0.000 0.500 0.000
0.500 0.000 0.000
0.500 0.500 0.500
0.248 0.248 0.749
0.248 0.749 0.248
0.251 0.251 0.251
0.251 0.752 0.752
0.749 0.248 0.248
0.749 0.749 0.749
0.752 0.251 0.752
0.752 0.752 0.251

=====

3.
PmSm4Th3S8 | the Alexandria database | PBE | optimized geometry; symmetry = R-3m; energy relative to the elements, uncorrected = -188 kJ per mole of atoms; total moment = 0.00 μB per formula unit
1.0
4.001 2.310 6.637
-4.001 2.310 6.637
0.000 -4.620 6.637
Pm Sm Th S
1 4 3 8
Direct
0.000 0.000 0.000
0.000 0.000 0.500
0.000 0.500 0.000
0.500 0.000 0.000
0.500 0.500 0.500
0.000 0.500 0.500
0.500 0.000 0.500
0.500 0.500 0.000
0.248 0.248 0.248
0.248 0.749 0.749
0.251 0.251 0.752
0.251 0.752 0.251
0.749 0.248 0.749
0.749 0.749 0.248
0.752 0.251 0.251
0.752 0.752 0.752

=====

4.
Pm4SmTh3S8 | the Alexandria database | PBE | optimized geometry; symmetry = R-3m; energy relative to the elements, uncorrected = -189 kJ per mole of atoms; total moment = 0.00 μB per formula unit
1.0
4.016 2.319 6.636
-4.016 2.319 6.636
0.000 -4.637 6.636
Pm Sm Th S
4 1 3 8
Direct
0.000 0.000 0.000
0.000 0.500 0.500
0.500 0.000 0.500
0.500 0.500 0.000
0.500 0.500 0.500
0.000 0.000 0.500
0.000 0.500 0.000
0.500 0.000 0.000
0.251 0.251 0.251
0.251 0.251 0.748
0.251 0.748 0.251
0.252 0.749 0.749
0.748 0.251 0.251
0.749 0.252 0.749
0.749 0.749 0.252
0.749 0.749 0.749

=====

5.
PmSm3Th4S8 | the Alexandria database | PBE | optimized geometry; symmetry = R-3m; energy relative to the elements, uncorrected = -186 kJ per mole of atoms; total moment = 0.00 μB per formula unit
1.0
3.984 2.300 6.713
-3.984 2.300 6.713
0.000 -4.601 6.713
Pm Sm Th S
1 3 4 8
Direct
0.000 0.000 0.000
0.000 0.500 0.500
0.500 0.000 0.500
0.500 0.500 0.000
0.000 0.000 0.500
0.000 0.500 0.000
0.500 0.000 0.000
0.500 0.500 0.500
0.249 0.249 0.747
0.249 0.747 0.249
0.252 0.252 0.252
0.253 0.751 0.751
0.747 0.249 0.249
0.748 0.748 0.748
0.751 0.253 0.751
0.751 0.751 0.253

=====

6.
Pm2Sm3ThS6 | the Alexandria database | PBE | optimized geometry; symmetry = C2/m; energy relative to the elements, uncorrected = -192 kJ per mole of atoms; total moment = 0.00 μB per formula unit
1.0
8.761 -2.011 0.000
8.761 2.011 0.000
-1.865 0.000 7.838
Pm Sm Th S
2 3 1 6
Direct
0.166 0.166 0.331
0.834 0.834 0.669
0.166 0.166 0.834
0.500 0.500 0.500
0.834 0.834 0.166
0.500 0.500 0.000
0.001 0.001 0.747
0.332 0.332 0.918
0.333 0.333 0.415
0.667 0.667 0.585
0.668 0.668 0.082
0.999 0.999 0.253

=====

7.
Pm3SmTh2S6 | the Alexandria database | PBE | optimized geometry; symmetry = C2/m; energy relative to the elements, uncorrected = -189 kJ per mole of atoms; total moment = 0.00 μB per formula unit
1.0
3.490 -6.025 0.000
3.490 6.025 0.000
-2.321 0.000 6.611
Pm Sm Th S
3 1 2 6
Direct
0.000 0.000 0.000
0.335 0.665 0.000
0.665 0.335 0.000
0.500 0.500 0.500
0.167 0.833 0.500
0.833 0.167 0.500
0.084 0.416 0.249
0.251 0.251 0.749
0.416 0.084 0.249
0.584 0.916 0.751
0.749 0.749 0.251
0.916 0.584 0.751

=====

8.
Pm3Sm4ThS8 | the Alexandria database | PBE | optimized geometry; symmetry = R-3m; energy relative to the elements, uncorrected = -193 kJ per mole of atoms; total moment = 0.00 μB per formula unit
1.0
4.022 2.322 6.570
-4.022 2.322 6.570
0.000 -4.645 6.570
Pm Sm Th S
3 4 1 8
Direct
0.000 0.500 0.500
0.500 0.000 0.500
0.500 0.500 0.000
0.000 0.000 0.500
0.000 0.500 0.000
0.500 0.000 0.000
0.500 0.500 0.500
0.000 0.000 0.000
0.249 0.249 0.249
0.249 0.749 0.749
0.251 0.251 0.751
0.251 0.751 0.251
0.749 0.249 0.749
0.749 0.749 0.249
0.751 0.251 0.251
0.751 0.751 0.751

=====

9.
Pm2SmTh3S6 | the Alexandria database | PBE | optimized geometry; symmetry = C2/m; energy relative to the elements, uncorrected = -185 kJ per mole of atoms; total moment = 0.00 μB per formula unit
1.0
3.486 -5.981 0.000
3.486 5.981 0.000
-2.281 0.000 6.672
Pm Sm Th S
2 1 3 6
Direct
0.166 0.834 0.000
0.834 0.166 0.000
0.500 0.500 0.000
0.000 0.000 0.500
0.333 0.667 0.500
0.667 0.333 0.500
0.086 0.418 0.754
0.250 0.250 0.247
0.418 0.086 0.754
0.582 0.914 0.246
0.750 0.750 0.753
0.914 0.582 0.246

=====

10.
Pm3SmTl4S8 | the Alexandria database | PBE | optimized geometry; symmetry = R-3m; energy relative to the elements, uncorrected = -141 kJ per mole of atoms; total moment = 0.00 μB per formula unit
1.0
4.144 2.392 7.503
-4.144 2.392 7.503
0.000 -4.785 7.503
Pm Sm Tl S
3 1 4 8
Direct
0.000 0.500 0.500
0.500 0.000 0.500
0.500 0.500 0.000
0.000 0.000 0.000
0.000 0.000 0.500
0.000 0.500 0.000
0.500 0.000 0.000
0.500 0.500 0.500
0.234 0.234 0.735
0.234 0.735 0.234
0.265 0.766 0.766
0.266 0.266 0.266
0.734 0.734 0.734
0.735 0.234 0.234
0.766 0.265 0.766
0.766 0.766 0.265

=====

Values of total DFT energy (no corrections), in order: -6.745, -7.036, -6.883, -6.893, -7.029, -6.642, -6.837, -6.596, -7.025, -5.307, all in eV per atom.
Values of density of states at the Fermi level, in order: 3.30, 5.60, 6.62, 6.65, 5.49, 5.82, 6.51, 10.01, 7.37, 0.00, all in states/eV/cell.